A geometry-optimized LiFeCuB structure, computed with PBE.

Geometry as POSCAR:
```
LiFeCuB
1.0
3.044 -1.855 1.254
-0.226 -2.104 3.131
0.149 -3.769 -0.241
Cu B Li Fe
1 1 1 1
Cartesian
1.483 -3.864 2.072
0.000 0.000 0.000
2.225 -5.796 3.108
0.742 -1.932 1.036
```

Calculated values
* volume: 9.54 Å³ per atom
* energy: -0.1762 Ha/atom